Entry 1:
Ba2Zn4GaAg3: optimized geometry, PBE.

The structure belongs to space group P-4m2 (No. 115); the cell edges are 4.6372, 4.6372 and 11.0643 Å and the angles 90.00°, 90.00° and 90.00°. The asymmetric unit holds Ba at (0.0000, 0.5000, 0.2472), Zn at (0.0000, 0.0000, 0.5000), Zn at (0.0000, 0.5000, 0.8761), Zn at (0.5000, 0.5000, 0.5000), Ga at (0.5000, 0.5000, 0.0000), Ag at (0.0000, 0.0000, 0.0000) and Ag at (0.0000, 0.5000, 0.6278).

The energy of formation is -2.18 eV/f.u. The calculation puts the volume at 23.8 Å³ per atom. As for the density of states at the Fermi level: 4.876 states/eV per cell. As for the theoretical density: 6.5 g/cm³. The value obtained for the total energy is -22.70 eV per formula unit.

---

Entry 2:
NiGeP2Cl: optimized geometry, PBE.

The structure belongs to space group P4/mmm (No. 123); the cell edges are 4.1966, 4.1966 and 5.8950 Å and the angles 90.00°, 90.00° and 90.00°. The asymmetric unit holds Ni at (0.0000, 0.0000, 0.0000), Ge at (0.5000, 0.5000, 0.5000), P at (0.0000, 0.5000, 0.0000) and Cl at (0.0000, 0.0000, 0.5000).

The polymorph energy (0 for the lowest one) comes out at 0.0 kJ/mol of formula units. The calculation puts the volume at 20.8 Å³ per atom. As for the density of states at the Fermi level: 3.856 states/eV per cell. As for the theoretical density: 3.7 g/cm³. The value obtained for the total energy is -20.85 eV per formula unit. For the uncorrected formation energy, the calculation gives 2.2 eV/f.u.

---

- Look up the theoretical density of the second one.
  3.7 g/cm³

---

Repeat the second record exactly.
NiGeP2Cl: optimized geometry, PBE.

The structure belongs to space group P4/mmm (No. 123); the cell edges are 4.1966, 4.1966 and 5.8950 Å and the angles 90.00°, 90.00° and 90.00°. The asymmetric unit holds Ni at (0.0000, 0.0000, 0.0000), Ge at (0.5000, 0.5000, 0.5000), P at (0.0000, 0.5000, 0.0000) and Cl at (0.0000, 0.0000, 0.5000).

The polymorph energy (0 for the lowest one) comes out at 0.0 kJ/mol of formula units. The calculation puts the volume at 20.8 Å³ per atom. As for the density of states at the Fermi level: 3.856 states/eV per cell. As for the theoretical density: 3.7 g/cm³. The value obtained for the total energy is -20.85 eV per formula unit. For the uncorrected formation energy, the calculation gives 2.2 eV/f.u.

---

- Which formula does entry 1 have?
  Ba2Zn4GaAg3